(1)
A plane-wave DFT calculation with GGA-PBE was carried out for a relaxed structure of Cs2ErHF6.

Cell and atoms, written as POSCAR:
```
Cs2ErHF6
1.0
0.000 5.189 5.215
3.490 0.000 5.215
3.490 5.189 0.000
Cs Er H F
2 1 1 6
Cartesian
1.745 2.595 2.607
5.235 7.784 7.822
0.000 0.000 0.000
3.490 5.189 5.215
3.490 5.189 2.124
3.490 2.124 5.215
4.663 5.189 5.215
2.317 5.189 5.215
3.490 8.255 5.215
3.490 5.189 8.305
```

## Properties
- Energy: -5.130 eV per atom
- Calculated volume: 18.89 Å³/atom
- Size of the total moment: 0.3 Bohr magnetons per cell
- Symmetry: Fmmm, No. 69
- ρ: 4.818 g/cm³


(2)
A plane-wave DFT calculation with GGA-PBE was carried out for a relaxed structure of CsErHg2F8.

Cell and atoms, written as POSCAR:
```
CsErHg2F8
1.0
2.895 1.671 8.355
-2.895 1.671 8.355
0.000 -3.343 8.355
Cs Er Hg F
1 1 2 8
Cartesian
0.000 0.000 0.000
0.000 0.000 12.533
0.000 0.000 6.300
0.000 0.000 18.767
-0.820 -1.577 11.288
-1.775 -0.078 13.778
0.000 0.000 8.434
-0.955 1.498 11.288
0.955 -1.498 13.778
0.000 0.000 16.633
1.775 0.078 11.288
0.820 1.577 13.778
```

## Properties
- Energy: -4.213 eV per atom
- Calculated volume: 20.22 Å³/atom
- Size of the total moment: 0.2 Bohr magnetons per cell
- Symmetry: R-3, No. 148
- ΔE_f (raw): -2.464 eV/atom
- ρ: 5.841 g/cm³


(3)
A plane-wave DFT calculation with GGA-PBE was carried out for a relaxed structure of Cs2ErHgF6.

Cell and atoms, written as POSCAR:
```
Cs2ErHgF6
1.0
6.782 0.000 0.000
0.000 9.594 0.000
0.000 0.000 6.788
Cs Er Hg F
4 2 2 12
Cartesian
1.696 9.592 1.700
1.696 4.798 1.700
5.087 0.001 5.088
5.087 4.796 5.088
1.696 2.398 5.079
5.087 7.195 1.709
1.696 7.195 5.100
5.087 2.398 1.688
0.166 2.398 6.604
0.168 2.398 3.550
1.696 0.237 5.071
1.696 4.559 5.071
3.223 2.398 3.550
3.225 2.398 6.604
3.557 7.195 0.183
3.559 7.195 3.238
5.087 5.034 1.717
5.087 9.356 1.717
6.615 7.195 3.238
6.617 7.195 0.183
```

## Properties
- Energy: -4.702 eV per atom
- Calculated volume: 22.08 Å³/atom
- Size of the total moment: 1.9 Bohr magnetons per cell
- Symmetry: Pmmn, No. 59
- ΔE_f (raw): -2.923 eV/atom
- ρ: 5.622 g/cm³


(4)
A plane-wave DFT calculation with GGA-PBE was carried out for a relaxed structure of CsErHgF6.

Cell and atoms, written as POSCAR:
```
CsErHgF6
1.0
-3.954 4.208 5.901
3.954 -4.208 5.901
3.954 4.208 -5.901
Cs Er Hg F
2 2 2 12
Cartesian
0.000 2.104 1.233
3.954 2.104 4.668
3.954 0.000 0.000
0.000 0.000 5.901
1.977 2.104 -2.950
1.977 -2.104 2.950
2.396 -0.283 1.458
5.513 -0.283 1.458
3.954 -2.104 4.042
3.954 2.104 0.504
2.396 3.925 -1.458
1.559 -0.283 4.443
2.396 4.490 1.458
1.559 0.283 7.359
0.000 2.104 5.397
0.000 6.312 1.859
-1.559 4.490 4.443
1.559 4.490 4.443
```

## Properties
- Energy: -4.822 eV per atom
- Calculated volume: 21.82 Å³/atom
- Size of the total moment: 0.0 Bohr magnetons per cell
- Symmetry: Imma, No. 74
- ΔE_f (raw): -2.939 eV/atom
- ρ: 5.198 g/cm³


(5)
A plane-wave DFT calculation with GGA-PBE was carried out for a relaxed structure of Cs2ErInF6.

Cell and atoms, written as POSCAR:
```
Cs2ErInF6
1.0
6.880 0.000 0.000
0.000 6.805 0.000
-6.807 0.000 9.648
Cs Er In F
4 2 2 12
Cartesian
-0.008 0.102 2.406
-3.412 3.301 7.230
3.484 3.504 2.418
0.080 6.703 7.241
-3.404 0.000 4.824
0.000 3.402 0.000
3.440 0.000 0.000
0.036 3.402 4.824
-2.042 1.658 4.481
-5.446 1.744 9.305
-5.167 4.793 9.347
-1.763 5.414 4.523
-2.963 0.089 6.949
0.441 3.314 2.125
-0.368 3.491 7.523
3.035 6.716 2.699
1.836 1.390 5.125
5.239 2.012 0.301
5.519 5.061 0.343
2.115 5.146 5.167
```

## Properties
- Energy: -5.141 eV per atom
- Calculated volume: 22.58 Å³/atom
- Size of the total moment: 0.0 Bohr magnetons per cell
- Symmetry: P2_1/c, No. 14
- ΔE_f (raw): -3.117 eV/atom
- ρ: 4.867 g/cm³


(6)
A plane-wave DFT calculation with GGA-PBE was carried out for a relaxed structure of CsK2ErF6.

Cell and atoms, written as POSCAR:
```
CsK2ErF6
1.0
6.526 0.000 0.000
0.000 6.958 0.000
-6.316 0.000 9.430
Cs K Er F
2 4 2 12
Cartesian
0.000 0.000 0.000
-3.158 3.479 4.715
-3.136 0.226 6.822
0.022 3.253 2.107
0.188 3.705 7.323
3.346 6.732 2.608
0.105 0.000 4.715
3.263 3.479 0.000
-1.790 1.008 4.484
-4.949 2.471 9.199
-3.977 5.165 8.387
-0.819 5.271 3.672
0.846 0.808 2.833
-2.312 2.671 7.548
2.522 4.287 1.882
-0.636 6.150 6.597
1.029 1.686 5.758
4.187 1.792 1.043
5.158 4.487 0.231
2.000 5.949 4.946
```

## Properties
- Energy: -5.234 eV per atom
- Calculated volume: 21.41 Å³/atom
- Size of the total moment: 0.4 Bohr magnetons per cell
- Symmetry: P2_1/c, No. 14
- ΔE_f (raw): -3.350 eV/atom
- ρ: 3.819 g/cm³


(7)
A plane-wave DFT calculation with GGA-PBE was carried out for a relaxed structure of CsLiErF6.

Cell and atoms, written as POSCAR:
```
CsLiErF6
1.0
-3.816 3.871 4.886
3.816 -3.871 4.886
3.816 3.871 -4.886
Cs Li Er F
2 2 2 12
Cartesian
0.000 1.936 1.610
3.816 1.936 3.276
3.816 0.000 0.000
0.000 0.000 4.886
1.908 1.936 -2.443
1.908 -1.936 2.443
3.816 -1.936 3.555
2.219 -0.017 1.289
5.414 -0.017 1.289
3.816 1.936 -0.920
2.219 3.854 -1.289
1.598 -0.017 3.597
2.219 3.889 1.289
1.598 0.017 6.175
0.000 1.936 5.806
-1.598 3.889 3.597
1.598 3.889 3.597
0.000 5.807 1.331
```

## Properties
- Energy: -5.133 eV per atom
- Calculated volume: 16.04 Å³/atom
- Size of the total moment: 2.0 Bohr magnetons per cell
- Symmetry: Imma, No. 74
- ΔE_f (raw): -3.071 eV/atom
- ρ: 4.844 g/cm³


(8)
A plane-wave DFT calculation with GGA-PBE was carried out for a relaxed structure of Cs2ErMg3F12.

Cell and atoms, written as POSCAR:
```
Cs2ErMg3F12
1.0
3.768 2.175 6.312
-3.768 2.175 6.312
0.000 -4.351 6.312
Cs Er Mg F
2 1 3 12
Cartesian
0.000 0.000 2.226
0.000 0.000 16.711
0.000 0.000 9.469
-1.884 -1.088 6.312
-1.884 1.088 12.625
0.000 2.175 6.312
-1.572 -0.908 8.297
0.000 -1.660 6.015
-1.438 0.830 6.015
0.000 -1.816 10.640
-1.572 0.908 10.640
-1.438 -0.830 12.923
1.438 0.830 6.015
1.572 -0.908 8.297
0.000 1.816 8.297
1.438 -0.830 12.923
0.000 1.660 12.923
1.572 0.908 10.640
```

## Properties
- Energy: -5.184 eV per atom
- Calculated volume: 17.25 Å³/atom
- Size of the total moment: 1.2 Bohr magnetons per cell
- Symmetry: R-3m, No. 166
- ΔE_f (raw): -3.322 eV/atom
- ρ: 3.926 g/cm³